Record 1
First-principles (PBE) data for crystalline LiZn2Pt2 at its relaxed geometry, as listed in the Alexandria database.

a = 3.8674 Å, b = 3.8674 Å, c = 6.4636 Å
α = 72.59°, β = 72.59°, γ = 90.00°
Last column: nearest neighbours and their distance in Å.
Fractional coordinates of all 5 atoms:
Li 0.0000 0.0000 0.0000  8 Pt 3.02
Pt 0.3907 0.3907 0.2186  4 Zn 2.54, 1 Pt 2.56
Pt 0.6093 0.6093 0.7814  4 Zn 2.54, 1 Pt 2.56
Zn 0.7500 0.2500 0.5000  4 Pt 2.54, 4 Zn 2.73
Zn 0.2500 0.7500 0.5000  4 Pt 2.54, 4 Zn 2.73

Values from the calculation:
* VASP energy: -18.284 eV/cell
* size of the total moment: 0.00 μB/cell
* symmetry: I4/mmm (139)



Record 2
First-principles (PBE) data for crystalline HfAlAs3 at its relaxed geometry, as listed in the Alexandria database.

a = 5.1498 Å, b = 5.1498 Å, c = 5.1498 Å
α = 90.00°, β = 90.00°, γ = 90.00°
Last column: nearest neighbours and their distance in Å.
Fractional coordinates of all 5 atoms:
As 0.5000 0.0000 0.0000  2 Hf 2.57
As 0.0000 0.0000 0.5000  2 Hf 2.57
As 0.0000 0.5000 0.0000  2 Hf 2.57
Al 0.5000 0.5000 0.5000  12 As 3.64
Hf 0.0000 0.0000 0.0000  6 As 2.57

Values from the calculation:
* VASP energy: -26.118 eV/cell
* size of the total moment: 0.00 μB/cell
* symmetry: Pm-3m (221)



Record 3
First-principles (PBE) data for crystalline ZnAs2W at its relaxed geometry, as listed in the Alexandria database.

a = 5.1735 Å, b = 5.1735 Å, c = 4.0976 Å
α = 89.98°, β = 89.98°, γ = 37.84°
Last column: nearest neighbours and their distance in Å.
Fractional coordinates of all 4 atoms:
As 0.7462 0.7462 0.6252  3 W 2.63-2.86, 4 Zn 2.66
As 0.0258 0.0258 0.1247  1 Zn 2.43
W 0.4536 0.4536 0.6248  7 As 2.63-2.86, 2 Zn 2.70
Zn 0.2743 0.2743 0.1252  5 As 2.43-2.66, 2 W 2.70

Values from the calculation:
* VASP energy: -22.798 eV/cell
* size of the total moment: 0.00 μB/cell
* symmetry: Amm2 (38)



Record 4
First-principles (PBE) data for crystalline Li12Cd5Cu2 at its relaxed geometry, as listed in the Alexandria database.

a = 7.2563 Å, b = 8.0885 Å, c = 7.0558 Å
α = 67.09°, β = 90.00°, γ = 116.65°
Last column: nearest neighbours and their distance in Å.
Fractional coordinates of all 19 atoms:
Li 0.3332 0.2708 0.1236  1 Cu 2.64, 2 Li 2.82-2.87, 4 Cd 2.87-2.95
Li 0.0694 0.1388 0.8344  3 Li 2.32-2.50
Li 0.3828 0.2963 0.5493  3 Li 2.50-2.77, 1 Cd 2.73
Li 0.9134 0.2963 0.5493  3 Li 2.50-2.77, 1 Cd 2.73
Li 0.0866 0.7037 0.4507  3 Li 2.50-2.77, 1 Cd 2.73
Li 0.5049 0.0098 0.3125  2 Cu 2.56, 5 Li 2.59-2.82
Li 0.4951 0.9902 0.6875  2 Cu 2.56, 5 Li 2.59-2.82
Li 0.9376 0.2708 0.1236  1 Cu 2.64, 2 Li 2.82-2.87, 4 Cd 2.87-2.95
Li 0.6172 0.7037 0.4507  3 Li 2.50-2.77, 1 Cd 2.73
Li 0.6668 0.7292 0.8764  1 Cu 2.64, 2 Li 2.82-2.87, 4 Cd 2.87-2.95
Li 0.0624 0.7292 0.8764  1 Cu 2.64, 2 Li 2.82-2.87, 4 Cd 2.87-2.95
Li 0.9306 0.8612 0.1656  3 Li 2.32-2.50
Cu 0.6720 0.0000 0.0000  1 Cu 2.50, 6 Li 2.56-2.65
Cu 0.3280 0.0000 0.0000  1 Cu 2.50, 6 Li 2.56-2.65
Cd 0.3039 0.6078 0.1879  2 Cu 2.84, 8 Li 2.95-3.08
Cd 0.2749 0.5498 0.7541  8 Li 2.73-3.01
Cd 0.6961 0.3922 0.8121  2 Cu 2.84, 8 Li 2.95-3.08
Cd 0.0000 0.0000 0.5000  10 Li 2.87-2.94
Cd 0.7251 0.4502 0.2459  8 Li 2.73-3.01

Values from the calculation:
* VASP energy: -37.543 eV/cell
* size of the total moment: 0.00 μB/cell
* symmetry: C2/m (12)



Record 5
First-principles (PBE) data for crystalline La3YO at its relaxed geometry, as listed in the Alexandria database.

a = 5.7514 Å, b = 5.7514 Å, c = 5.7514 Å
α = 90.00°, β = 90.00°, γ = 90.00°
Last column: nearest neighbours and their distance in Å.
Fractional coordinates of all 5 atoms:
La 0.0000 0.0000 0.5000  2 Y 2.88
La 0.5000 0.0000 0.0000  2 Y 2.88
La 0.0000 0.5000 0.0000  2 Y 2.88
Y 0.0000 0.0000 0.0000  6 La 2.88
O 0.5000 0.5000 0.5000  12 La 4.07

Values from the calculation:
* formation energy from raw total energies: 0.90 eV/atom
* VASP energy: -21.725 eV/cell
* size of the total moment: 0.00 μB/cell
* symmetry: Pm-3m (221)



Record 6
First-principles (PBE) data for crystalline VTcSnMo at its relaxed geometry, as listed in the Alexandria database.

a = 4.4865 Å, b = 4.4865 Å, c = 4.4865 Å
α = 60.00°, β = 60.00°, γ = 60.00°
Last column: nearest neighbours and their distance in Å.
Fractional coordinates of all 4 atoms:
V 0.7500 0.7500 0.7500  4 Mo 2.75, 4 Tc 2.75
Mo 0.0000 0.0000 0.0000  4 V 2.75, 4 Sn 2.75
Tc 0.5000 0.5000 0.5000  4 Sn 2.75, 4 V 2.75
Sn 0.2500 0.2500 0.2500  4 Tc 2.75, 4 Mo 2.75

Values from the calculation:
* VASP energy: -34.140 eV/cell
* size of the total moment: 0.00 μB/cell
* symmetry: F-43m (216)



Record 7
First-principles (PBE) data for crystalline SrGaNi at its relaxed geometry, as listed in the Alexandria database.

a = 4.4105 Å, b = 4.4097 Å, c = 7.2366 Å
α = 89.99°, β = 89.94°, γ = 90.00°
Last column: nearest neighbours and their distance in Å.
Fractional coordinates of all 6 atoms:
Ni 0.8110 0.3671 0.9196  4 Ga 2.45-2.46
Ni 0.3158 0.8663 0.9196  4 Ga 2.45
Ga 0.3118 0.3662 0.7711  4 Ni 2.45-2.46
Ga 0.8153 0.8668 0.0681  4 Ni 2.45
Sr 0.3139 0.3662 0.2297  4 Ni 3.14-3.16, 5 Ga 3.32-3.34
Sr 0.8136 0.8662 0.6095  4 Ni 3.14-3.15, 5 Ga 3.32-3.34

Values from the calculation:
* VASP energy: -23.185 eV/cell
* size of the total moment: 0.00 μB/cell
* symmetry: P2_1/m (11)



Record 8
First-principles (PBE) data for crystalline GdDyCoNi at its relaxed geometry, as listed in the Alexandria database.

a = 4.7689 Å, b = 4.7689 Å, c = 4.7689 Å
α = 60.00°, β = 60.00°, γ = 60.00°
Last column: nearest neighbours and their distance in Å.
Fractional coordinates of all 4 atoms:
Co 0.2500 0.2500 0.2500  4 Dy 2.92, 4 Gd 2.92
Ni 0.7500 0.7500 0.7500  4 Gd 2.92, 4 Dy 2.92
Gd 0.0000 0.0000 0.0000  4 Ni 2.92, 4 Co 2.92
Dy 0.5000 0.5000 0.5000  4 Co 2.92, 4 Ni 2.92

Values from the calculation:
* VASP energy: -32.517 eV/cell
* size of the total moment: 6.88 μB/cell
* symmetry: F-43m (216)



Record 9
First-principles (PBE) data for crystalline Cs2PmSe2O6 at its relaxed geometry, as listed in the Alexandria database.

a = 6.3087 Å, b = 6.1760 Å, c = 7.9681 Å
α = 108.86°, β = 90.00°, γ = 120.71°
Last column: nearest neighbours and their distance in Å.
Fractional coordinates of all 11 atoms:
Se 0.9174 0.8347 0.7764  3 O 1.77-1.78
Se 0.0826 0.1653 0.2236  3 O 1.77-1.78
O 0.8168 0.0888 0.3262  1 Se 1.77
O 0.2620 0.5241 0.3438  1 Se 1.78
O 0.7281 0.9112 0.6738  1 Se 1.77
O 0.7380 0.4759 0.6562  1 Se 1.78
O 0.2719 0.0888 0.3262  1 Se 1.77
O 0.1832 0.9112 0.6738  1 Se 1.77
Cs 0.7587 0.5175 0.2497  7 O 3.09-3.33
Cs 0.2413 0.4825 0.7503  7 O 3.09-3.33
Pm 0.5000 0.0000 0.5000  6 O 2.36

Values from the calculation:
* formation energy from raw total energies: -1.56 eV/atom
* VASP energy: -60.305 eV/cell
* size of the total moment: 0.80 μB/cell
* symmetry: C2/m (12)



Record 10
First-principles (PBE) data for crystalline LiPPb at its relaxed geometry, as listed in the Alexandria database.

a = 4.7434 Å, b = 4.7434 Å, c = 4.7434 Å
α = 60.00°, β = 60.00°, γ = 60.00°
Last column: nearest neighbours and their distance in Å.
Fractional coordinates of all 3 atoms:
Pb 0.0000 0.0000 0.0000  4 P 2.90
Li 0.5000 0.5000 0.5000  4 P 2.90
P 0.7500 0.7500 0.7500  4 Li 2.90, 4 Pb 2.90

Values from the calculation:
* VASP energy: -11.453 eV/cell
* size of the total moment: 0.00 μB/cell
* symmetry: F-43m (216)



Record 11
First-principles (PBE) data for crystalline CuRe4Ag at its relaxed geometry, as listed in the Alexandria database.

a = 5.1962 Å, b = 5.1962 Å, c = 5.1962 Å
α = 60.00°, β = 60.00°, γ = 60.00°
Last column: nearest neighbours and their distance in Å.
Fractional coordinates of all 6 atoms:
Ag 0.7500 0.7500 0.7500  12 Re 3.05, 4 Cu 3.18
Cu 0.0000 0.0000 0.0000  12 Re 3.05, 4 Ag 3.18
Re 0.3749 0.3749 0.8752  6 Re 2.60
Re 0.3749 0.3749 0.3749  6 Re 2.60
Re 0.3749 0.8752 0.3749  6 Re 2.60
Re 0.8752 0.3749 0.3749  6 Re 2.60

Values from the calculation:
* VASP energy: -52.099 eV/cell
* size of the total moment: 0.00 μB/cell
* symmetry: F-43m (216)



Record 12
First-principles (PBE) data for crystalline US3Cl6 at its relaxed geometry, as listed in the Alexandria database.

a = 9.9835 Å, b = 9.9835 Å, c = 9.9835 Å
α = 100.05°, β = 100.05°, γ = 100.05°
Last column: nearest neighbours and their distance in Å.
Fractional coordinates of all 20 atoms:
Cl 0.0512 0.8203 0.8203  1 U 2.49
Cl 0.5262 0.7565 0.5263  1 U 2.49
Cl 0.2435 0.4737 0.4738  1 U 2.49
Cl 0.7565 0.5263 0.5262  1 U 2.49
Cl 0.1797 0.1797 0.9488  1 U 2.49
Cl 0.4737 0.4738 0.2435  1 U 2.49
Cl 0.4738 0.2435 0.4737  1 U 2.49
Cl 0.8203 0.8203 0.0512  1 U 2.49
Cl 0.5263 0.5262 0.7565  1 U 2.49
Cl 0.8203 0.0512 0.8203  1 U 2.49
Cl 0.9488 0.1797 0.1797  1 U 2.49
Cl 0.1797 0.9488 0.1797  1 U 2.49
S 0.0761 0.0761 0.5214  1 S 1.88
S 0.9239 0.4786 0.9239  1 S 1.88
S 0.4786 0.9239 0.9239  1 S 1.88
S 0.5214 0.0761 0.0761  1 S 1.88
S 0.9239 0.9239 0.4786  1 S 1.88
S 0.0761 0.5214 0.0761  1 S 1.88
U 0.5000 0.5000 0.5000  6 Cl 2.49
U 0.0000 0.0000 0.0000  6 Cl 2.49

Values from the calculation:
* formation energy from raw total energies: -0.90 eV/atom
* VASP energy: -87.473 eV/cell
* size of the total moment: 6.00 μB/cell
* symmetry: R-3m (166)



Record 13
First-principles (PBE) data for crystalline SrCuTc2 at its relaxed geometry, as listed in the Alexandria database.

a = 5.6461 Å, b = 5.6461 Å, c = 2.6135 Å
α = 90.00°, β = 90.00°, γ = 122.10°
Last column: nearest neighbours and their distance in Å.
Fractional coordinates of all 4 atoms:
Sr 0.0000 0.5000 0.5000  2 Sr 2.61, 2 Cu 2.73
Tc 0.0000 0.0000 0.0000  4 Tc 2.61-2.73
Tc 0.5000 0.5000 0.0000  4 Tc 2.61-2.73
Cu 0.5000 0.0000 0.5000  2 Cu 2.61, 2 Sr 2.73

Values from the calculation:
* VASP energy: -22.885 eV/cell
* size of the total moment: 0.00 μB/cell
* symmetry: Cmmm (65)